# 1
Material: Ta3OsPt
Method: DFT, PBE
State: relaxed

Cell: 4.7835 4.7835 4.7835 Å, 90.00 90.00 90.00°
Closest atoms and distances in Å follow each position.
Positions (direct):
Ta1 0.5000 0.0000 0.0000  2 Pt 2.39
Pt1 0.0000 0.0000 0.0000  6 Ta 2.39
Ta2 0.0000 0.0000 0.5000  2 Pt 2.39
Ta3 0.0000 0.5000 0.0000  2 Pt 2.39
Os1 0.5000 0.5000 0.5000  12 Ta 3.38

Values from the calculation:
Space-group type: Pm-3m, No. 221
Energy of formation: 7.98 eV per formula unit
E above lowest polymorph: 11.117 kcal/mol of atoms

***

# 2
Material: TaOsPt
Method: DFT, PBE
State: relaxed

Cell: 6.2921 6.2918 2.8329 Å, 77.00 76.98 26.02°
Closest atoms and distances in Å follow each position.
Positions (direct):
Ta1 0.6627 0.6627 0.3373  4 Os 2.75, 4 Ta 2.83, 4 Pt 2.85
Pt1 0.3329 0.3329 0.6671  4 Pt 2.83, 4 Ta 2.85, 4 Os 2.86
Os1 0.0043 0.0043 0.9957  4 Ta 2.75, 4 Os 2.83, 4 Pt 2.86

Values from the calculation:
Space-group type: I4mm, No. 107
Energy of formation: -0.58 eV per formula unit
E above lowest polymorph: 4.728 kcal/mol of atoms

***

# 3
Material: TaTi2OsPt
Method: DFT, PBE
State: relaxed

Cell: 4.6715 4.7079 4.6715 Å, 90.00 90.00 90.00°
Closest atoms and distances in Å follow each position.
Positions (direct):
Ti1 0.0000 0.0000 0.5000  2 Ta 2.34
Ta1 0.0000 0.0000 0.0000  4 Ti 2.34, 2 Pt 2.35
Pt1 0.0000 0.5000 0.0000  2 Ta 2.35
Ti2 0.5000 0.0000 0.0000  2 Ta 2.34
Os1 0.5000 0.5000 0.5000  4 Pt 3.30, 8 Ti 3.32

Values from the calculation:
Space-group type: P4/mmm, No. 123
Energy of formation: 7.63 eV per formula unit

***

# 4
Material: Tb8Os2Pt
Method: DFT, PBE
State: relaxed

Cell: 5.9063 7.5836 7.5836 Å, 111.76 100.16 100.16°
Closest atoms and distances in Å follow each position.
Positions (direct):
Tb1 0.5829 0.0790 0.3425  2 Os 2.80-2.83
Pt1 0.1391 0.0003 0.0003  8 Tb 2.88-3.14
Tb2 0.1828 0.3669 0.3669  2 Os 2.98, 1 Pt 3.05
Tb3 0.5829 0.3425 0.0790  2 Os 2.80-2.83
Os1 0.4870 0.3168 0.6943  6 Tb 2.80-2.98
Tb4 0.3848 0.9299 0.6663  2 Os 2.81-2.83, 1 Pt 3.06
Tb5 0.7919 0.6366 0.6366  2 Os 2.97, 1 Pt 3.13
Os2 0.4870 0.6943 0.3168  6 Tb 2.80-2.98
Tb6 0.9883 0.7826 0.2187  1 Pt 2.88, 2 Os 3.16-3.20
Tb7 0.3848 0.6663 0.9299  2 Os 2.81-2.83, 1 Pt 3.06
Tb8 0.9883 0.2187 0.7826  1 Pt 2.88, 2 Os 3.16-3.20

Values from the calculation:
Space-group type: Cm, No. 8
Energy of formation: -3.43 eV per formula unit

***

# 5
Material: Tb6Os2Pt
Method: DFT, PBE
State: relaxed

Cell: 6.6895 7.4653 9.4751 Å, 90.00 88.35 90.00°
Closest atoms and distances in Å follow each position.
Positions (direct):
Pt1 0.0000 0.0000 0.5000  6 Tb 2.74-2.81
Tb1 0.6656 0.4454 0.2614  1 Pt 2.77, 2 Os 2.79-2.80
Tb2 0.3259 0.8327 0.0697  1 Pt 2.81, 2 Os 2.85-3.06
Os1 0.0351 0.6174 0.2584  6 Tb 2.79-3.11
Tb3 0.1741 0.3327 0.4303  1 Pt 2.81, 2 Os 2.85-3.06
Tb4 0.6741 0.1673 0.9303  1 Pt 2.81, 2 Os 2.85-3.06
Tb5 0.1656 0.0546 0.7614  1 Pt 2.77, 2 Os 2.79-2.80
Tb6 0.8259 0.6673 0.5697  1 Pt 2.81, 2 Os 2.85-3.06
Tb7 0.8344 0.9454 0.2386  1 Pt 2.77, 2 Os 2.79-2.80
Tb8 0.8495 0.6729 0.9282  1 Pt 2.74, 1 Os 2.89
Os2 0.4649 0.1174 0.2416  6 Tb 2.79-3.11
Tb9 0.1505 0.3271 0.0718  1 Pt 2.74, 1 Os 2.89
Tb10 0.3495 0.8271 0.4282  1 Pt 2.74, 1 Os 2.89
Tb11 0.6505 0.1729 0.5718  1 Pt 2.74, 1 Os 2.89
Pt2 0.5000 0.5000 0.0000  6 Tb 2.74-2.81
Tb12 0.3344 0.5546 0.7386  1 Pt 2.77, 2 Os 2.79-2.80
Os3 0.9649 0.3826 0.7416  6 Tb 2.79-3.11
Os4 0.5351 0.8826 0.7584  6 Tb 2.79-3.11

Values from the calculation:
Space-group type: P2_1/c, No. 14
Energy of formation: -3.31 eV per formula unit

***

# 6
Material: Tb8OsPt2
Method: DFT, PBE
State: relaxed

Cell: 5.0213 6.8320 9.0079 Å, 105.36 106.18 90.00°
Closest atoms and distances in Å follow each position.
Positions (direct):
Tb1 0.4086 0.5602 0.8171  1 Os 2.98, 2 Pt 3.30
Tb2 0.7974 0.6884 0.5949  1 Pt 2.80
Tb3 0.5914 0.4398 0.1829  1 Os 2.98, 2 Pt 3.30
Os1 0.5000 0.0000 0.0000  8 Tb 2.93-3.00
Pt1 0.1891 0.7113 0.3782  3 Tb 2.80-2.93
Tb4 0.6649 0.9652 0.3298  3 Pt 2.86-3.14, 1 Os 2.93
Pt2 0.8109 0.2887 0.6218  3 Tb 2.80-2.93
Tb5 0.9686 0.2067 0.9371  1 Pt 2.93, 2 Os 3.00
Tb6 0.3351 0.0348 0.6702  3 Pt 2.86-3.14, 1 Os 2.93
Tb7 0.0314 0.7933 0.0629  1 Pt 2.93, 2 Os 3.00
Tb8 0.2026 0.3116 0.4051  1 Pt 2.80

Values from the calculation:
Space-group type: C2/m, No. 12
Energy of formation: -5.96 eV per formula unit
E above lowest polymorph: 0.000 kcal/mol of atoms

***

# 7
Material: Tb8OsPt2
Method: DFT, PBE
State: relaxed

Cell: 6.0530 7.6117 7.6117 Å, 112.90 100.92 100.92°
Closest atoms and distances in Å follow each position.
Positions (direct):
Tb1 0.9889 0.2092 0.7907  1 Os 2.84
Os1 0.1585 0.0016 0.0016  8 Tb 2.84-3.02
Tb2 0.1679 0.3548 0.3548  1 Os 2.95, 2 Pt 3.05
Pt1 0.4884 0.6929 0.3203  6 Tb 2.83-3.05
Tb3 0.9889 0.7907 0.2092  1 Os 2.84
Tb4 0.5790 0.0822 0.3376  2 Pt 2.83-2.85, 1 Os 3.02
Tb5 0.3750 0.9247 0.6699  2 Pt 2.86-2.89, 1 Os 2.97
Tb6 0.8105 0.6500 0.6500  1 Os 2.99, 2 Pt 3.04
Tb7 0.5790 0.3376 0.0822  2 Pt 2.83-2.85, 1 Os 3.02
Pt2 0.4884 0.3203 0.6929  6 Tb 2.83-3.05
Tb8 0.3750 0.6699 0.9247  2 Pt 2.86-2.89, 1 Os 2.97

Values from the calculation:
Space-group type: Cm, No. 8
Energy of formation: -5.00 eV per formula unit
E above lowest polymorph: 2.011 kcal/mol of atoms

***

# 8
Material: TbTmOsPt
Method: DFT, PBE
State: relaxed

Cell: 4.8486 4.8486 4.8486 Å, 60.00 60.00 60.00°
Closest atoms and distances in Å follow each position.
Positions (direct):
Pt1 0.0000 0.0000 0.0000  4 Tm 2.97, 4 Tb 2.97
Tb1 0.2500 0.2500 0.2500  4 Os 2.97, 4 Pt 2.97
Os1 0.5000 0.5000 0.5000  4 Tb 2.97, 4 Tm 2.97
Tm1 0.7500 0.7500 0.7500  4 Os 2.97, 4 Pt 2.97

Values from the calculation:
Space-group type: F-43m, No. 216
Energy of formation: -2.73 eV per formula unit

***

# 9
Material: TbYOsPt
Method: DFT, PBE
State: relaxed

Cell: 4.8878 4.8878 4.8878 Å, 60.00 60.00 60.00°
Closest atoms and distances in Å follow each position.
Positions (direct):
Tb1 0.5000 0.5000 0.5000  4 Os 2.99, 4 Pt 2.99
Os1 0.7500 0.7500 0.7500  4 Y 2.99, 4 Tb 2.99
Pt1 0.2500 0.2500 0.2500  4 Y 2.99, 4 Tb 2.99
Y1 0.0000 0.0000 0.0000  4 Os 2.99, 4 Pt 2.99

Values from the calculation:
Space-group type: F-43m, No. 216
Energy of formation: -2.51 eV per formula unit

***

# 10
Material: TbZrOsPt
Method: DFT, PBE
State: relaxed

Cell: 4.7927 4.7927 4.7927 Å, 60.00 60.00 60.00°
Closest atoms and distances in Å follow each position.
Positions (direct):
Tb1 0.0000 0.0000 0.0000  4 Os 2.93, 4 Pt 2.93
Os1 0.2500 0.2500 0.2500  4 Zr 2.93, 4 Tb 2.93
Zr1 0.5000 0.5000 0.5000  4 Os 2.93, 4 Pt 2.93
Pt1 0.7500 0.7500 0.7500  4 Zr 2.93, 4 Tb 2.93

Values from the calculation:
Space-group type: F-43m, No. 216
Energy of formation: -2.48 eV per formula unit

***

# 11
Material: Tc4OsPt
Method: DFT, PBE
State: relaxed

Cell: 5.0585 5.0585 5.0585 Å, 60.00 60.00 60.00°
Closest atoms and distances in Å follow each position.
Positions (direct):
Tc1 0.3740 0.3740 0.3740  6 Tc 2.51-2.55
Pt1 0.0000 0.0000 0.0000  12 Tc 2.96, 4 Os 3.10
Tc2 0.3740 0.8780 0.3740  6 Tc 2.51-2.55
Tc3 0.8780 0.3740 0.3740  6 Tc 2.51-2.55
Tc4 0.3740 0.3740 0.8780  6 Tc 2.51-2.55
Os1 0.7500 0.7500 0.7500  12 Tc 2.97, 4 Pt 3.10

Values from the calculation:
Space-group type: F-43m, No. 216
Energy of formation: 2.21 eV per formula unit

***

# 12
Material: Tc2OsPt
Method: DFT, PBE
State: relaxed

Cell: 9.1921 9.1921 9.1921 Å, 17.16 17.16 17.16°
Closest atoms and distances in Å follow each position.
Positions (direct):
Tc1 0.2496 0.2496 0.2496  3 Os 2.70, 9 Tc 2.73-2.74
Tc2 0.9984 0.9984 0.9984  9 Tc 2.73-2.74, 3 Pt 2.79
Pt1 0.7494 0.7494 0.7494  6 Pt 2.74, 3 Tc 2.79, 3 Os 2.83
Os1 0.5026 0.5026 0.5026  3 Tc 2.70, 6 Os 2.74, 3 Pt 2.83

Values from the calculation:
Space-group type: R3m, No. 160
Energy of formation: 0.08 eV per formula unit
E above lowest polymorph: 3.633 kcal/mol of atoms

***

# 13
Material: TcOsPt2
Method: DFT, PBE
State: relaxed

Cell: 4.7759 4.7759 4.7759 Å, 131.58 131.60 70.87°
Closest atoms and distances in Å follow each position.
Positions (direct):
Pt1 0.7500 0.2500 0.5000  4 Tc 2.76, 4 Pt 2.76, 4 Os 2.77
Os1 0.2499 0.7499 0.5000  4 Tc 2.76, 8 Pt 2.76-2.77
Pt2 0.0000 0.0000 0.0000  4 Os 2.76, 4 Pt 2.76, 4 Tc 2.77
Tc1 0.5002 0.5002 0.0000  4 Os 2.76, 8 Pt 2.76-2.77

Values from the calculation:
Space-group type: I-4m2, No. 119
Energy of formation: 0.01 eV per formula unit
E above lowest polymorph: 2.164 kcal/mol of atoms

***

# 14
Material: TcOs4Pt
Method: DFT, PBE
State: relaxed

Cell: 5.1003 5.1003 5.1003 Å, 60.00 60.00 60.00°
Closest atoms and distances in Å follow each position.
Positions (direct):
Os1 0.6247 0.6247 0.1260  6 Os 2.54-2.56
Tc1 0.0000 0.0000 0.0000  12 Os 2.99, 4 Pt 3.12
Os2 0.6247 0.6247 0.6247  6 Os 2.54-2.56
Os3 0.1260 0.6247 0.6247  6 Os 2.54-2.56
Os4 0.6247 0.1260 0.6247  6 Os 2.54-2.56
Pt1 0.2500 0.2500 0.2500  12 Os 2.99, 4 Tc 3.12

Values from the calculation:
Space-group type: F-43m, No. 216
Energy of formation: 4.10 eV per formula unit

***

# 15
Material: TcOsPt2
Method: DFT, PBE
State: relaxed

Cell: 2.7355 2.7355 7.9841 Å, 90.00 90.00 90.00°
Closest atoms and distances in Å follow each position.
Positions (direct):
Pt1 0.0000 0.0000 0.0009  4 Pt 2.74, 4 Tc 2.77, 4 Os 2.79
Pt2 0.0000 0.0000 0.4989  4 Pt 2.74, 4 Tc 2.77, 4 Os 2.79
Tc1 0.5000 0.5000 0.2499  4 Tc 2.74, 8 Pt 2.77
Os1 0.5000 0.5000 0.7499  4 Os 2.74, 8 Pt 2.79

Values from the calculation:
Space-group type: P4/mmm, No. 123
Energy of formation: 0.35 eV per formula unit
E above lowest polymorph: 4.123 kcal/mol of atoms

***

# 16
Material: Tc2OsPt
Method: DFT, PBE
State: relaxed

Cell: 4.7883 4.7883 4.7540 Å, 80.41 80.41 33.28°
Closest atoms and distances in Å follow each position.
Positions (direct):
Tc1 0.5046 0.5046 0.4846  6 Tc 2.63-2.86, 3 Os 2.71-2.76, 3 Pt 2.77-2.81
Tc2 0.9954 0.9954 0.0154  6 Tc 2.63-2.86, 3 Os 2.71-2.76, 3 Pt 2.77-2.81
Pt1 0.7500 0.7500 0.7500  2 Pt 2.74, 4 Os 2.74, 6 Tc 2.77-2.81
Os1 0.2500 0.2500 0.2500  6 Tc 2.71-2.76, 2 Os 2.74, 4 Pt 2.74

Values from the calculation:
Space-group type: C2/m, No. 12
Energy of formation: 0.01 eV per formula unit
E above lowest polymorph: 3.201 kcal/mol of atoms

***

# 17
Material: TcOsPt2
Method: DFT, PBE
State: relaxed

Cell: 2.7613 2.7613 7.8939 Å, 90.00 90.00 90.00°
Closest atoms and distances in Å follow each position.
Positions (direct):
Pt1 0.5000 0.5000 0.2599  8 Pt 2.76-2.88, 4 Tc 2.80
Tc1 0.0000 0.0000 0.5134  4 Os 2.62, 4 Tc 2.76, 4 Pt 2.80
Pt2 0.0000 0.0000 0.9916  8 Pt 2.76-2.88, 4 Os 2.81
Os1 0.5000 0.5000 0.7350  4 Tc 2.62, 4 Os 2.76, 4 Pt 2.81

Values from the calculation:
Space-group type: P4mm, No. 99
Energy of formation: -0.31 eV per formula unit
E above lowest polymorph: 0.340 kcal/mol of atoms

***

# 18
Material: TcOsPt
Method: DFT, PBE
State: relaxed

Cell: 6.1605 6.1605 2.7651 Å, 77.03 77.03 25.94°
Closest atoms and distances in Å follow each position.
Positions (direct):
Tc1 0.6573 0.6573 0.3427  4 Os 2.60, 4 Tc 2.77, 4 Pt 2.83
Os1 0.0101 0.0101 0.9899  4 Tc 2.60, 4 Os 2.77, 4 Pt 2.85
Pt1 0.3326 0.3326 0.6674  4 Pt 2.77, 4 Tc 2.83, 4 Os 2.85

Values from the calculation:
Space-group type: I4mm, No. 107
Energy of formation: -0.11 eV per formula unit
E above lowest polymorph: 1.044 kcal/mol of atoms

***

# 19
Material: TcOsPt
Method: DFT, PBE
State: relaxed

Cell: 7.0405 4.8060 8.3155 Å, 90.00 141.23 90.00°
Closest atoms and distances in Å follow each position.
Positions (direct):
Pt1 0.7571 0.5876 0.3030  5 Tc 2.72-2.79, 5 Os 2.72-2.80, 2 Pt 2.75
Tc1 0.2551 0.9178 0.9666  5 Os 2.70-2.79, 5 Pt 2.72-2.79, 2 Tc 2.74
Pt2 0.7571 0.0876 0.8030  5 Tc 2.72-2.79, 5 Os 2.72-2.80, 2 Pt 2.75
Os1 0.2564 0.9186 0.6363  5 Tc 2.70-2.79, 5 Pt 2.72-2.80, 2 Os 2.73
Os2 0.7564 0.0814 0.1363  5 Tc 2.70-2.79, 5 Pt 2.72-2.80, 2 Os 2.73
Pt3 0.2571 0.4124 0.8030  5 Tc 2.72-2.79, 5 Os 2.72-2.80, 2 Pt 2.75
Tc2 0.7551 0.5822 0.9666  5 Os 2.70-2.79, 5 Pt 2.72-2.79, 2 Tc 2.74
Pt4 0.2571 0.9124 0.3030  5 Tc 2.72-2.79, 5 Os 2.72-2.80, 2 Pt 2.75
Tc3 0.7551 0.0822 0.4666  5 Os 2.70-2.79, 5 Pt 2.72-2.79, 2 Tc 2.74
Os3 0.2564 0.4186 0.1363  5 Tc 2.70-2.79, 5 Pt 2.72-2.80, 2 Os 2.73
Tc4 0.2551 0.4178 0.4666  5 Os 2.70-2.79, 5 Pt 2.72-2.79, 2 Tc 2.74
Os4 0.7564 0.5814 0.6363  5 Tc 2.70-2.79, 5 Pt 2.72-2.80, 2 Os 2.73

Values from the calculation:
Space-group type: Cc, No. 9
Energy of formation: -0.16 eV per formula unit
E above lowest polymorph: 0.668 kcal/mol of atoms

***

# 20
Material: TcOsPt
Method: DFT, PBE
State: relaxed

Cell: 5.5249 8.3328 4.7544 Å, 90.00 126.05 90.00°
Closest atoms and distances in Å follow each position.
Positions (direct):
Pt1 0.7500 0.4153 0.7500  5 Os 2.71-2.87, 5 Tc 2.72-2.79, 2 Pt 2.75
Tc1 0.7500 0.0895 0.7500  5 Os 2.67-2.77, 5 Pt 2.72-2.79, 2 Tc 2.79
Pt2 0.7500 0.9153 0.2500  5 Os 2.71-2.87, 5 Tc 2.72-2.79, 2 Pt 2.75
Os1 0.2500 0.2400 0.2500  5 Tc 2.67-2.77, 5 Pt 2.71-2.87, 2 Os 2.77
Os2 0.7500 0.2600 0.2500  5 Tc 2.67-2.77, 5 Pt 2.71-2.87, 2 Os 2.77
Os3 0.7500 0.7600 0.7500  5 Tc 2.67-2.77, 5 Pt 2.71-2.87, 2 Os 2.77
Pt3 0.2500 0.5847 0.2500  5 Os 2.71-2.87, 5 Tc 2.72-2.79, 2 Pt 2.75
Pt4 0.2500 0.0847 0.7500  5 Os 2.71-2.87, 5 Tc 2.72-2.79, 2 Pt 2.75
Os4 0.2500 0.7400 0.7500  5 Tc 2.67-2.77, 5 Pt 2.71-2.87, 2 Os 2.77
Tc2 0.7500 0.5895 0.2500  5 Os 2.67-2.77, 5 Pt 2.72-2.79, 2 Tc 2.79
Tc3 0.2500 0.9105 0.2500  5 Os 2.67-2.77, 5 Pt 2.72-2.79, 2 Tc 2.79
Tc4 0.2500 0.4105 0.7500  5 Os 2.67-2.77, 5 Pt 2.72-2.79, 2 Tc 2.79

Values from the calculation:
Space-group type: C2/c, No. 15
Energy of formation: -0.09 eV per formula unit
E above lowest polymorph: 1.172 kcal/mol of atoms

***

V per entry: 109.46; 47.87; 102.74; 299.48; 472.98; 285.26; 303.46; 80.60; 82.57; 77.84; 91.53; 58.98; 59.67; 93.81; 59.74; 58.90; 60.19; 44.67; 176.21; 176.96 Å³ per cell